Record 1
VASP calculation (PBE-GGA) on crystalline Pm7HPb4 at its relaxed geometry.

Its total DFT energy (no corrections) is -55.679 eV/cell. Its space-group type is C2/m, No. 12. The calculation puts the density of states at the Fermi level at 10.8 states/eV/cell. Its total magnetic moment is 0.006 μB/cell.

Unit cell a=5.2224 b=9.2449 c=8.7429 alpha=77.37 beta=72.62 gamma=73.59
Last column: nearest neighbours and their distance in Å.
Fractional coordinates of all 12 atoms:
Pm 0.7883 0.8562 0.5672  4 Pb 3.13-3.27
Pm 0.2117 0.1438 0.4328  4 Pb 3.13-3.27
Pm 0.0699 0.7365 0.1238  1 H 2.41
Pm 0.9301 0.2635 0.8762  1 H 2.41
Pm 0.3630 0.5535 0.7205  5 Pb 3.23-3.37
Pm 0.5000 0.0000 0.0000  2 H 2.61
Pm 0.6370 0.4465 0.2795  5 Pb 3.23-3.37
H 0.0000 0.0000 0.0000  4 Pm 2.41-2.61
Pb 0.5784 0.2107 0.6325  8 Pm 3.20-3.38
Pb 0.4216 0.7893 0.3675  8 Pm 3.20-3.38
Pb 0.7197 0.6533 0.9073  8 Pm 3.13-3.50
Pb 0.2803 0.3467 0.0927  8 Pm 3.13-3.50



Record 2
VASP calculation (PBE-GGA) on crystalline IrRu2Pb at its relaxed geometry.

The calculation puts the formation energy from the elements at 0.489 eV/atom. Its space-group type is P4/mmm, No. 123. The calculation puts the density of states at the Fermi level at 5.7 states/eV/cell. Its total magnetic moment is 0.001 μB/cell.

Unit cell a=2.9300 b=2.9300 c=7.6738 alpha=90.00 beta=90.00 gamma=89.99
Last column: nearest neighbours and their distance in Å.
Fractional coordinates of all 4 atoms:
Ir 0.5000 0.5000 0.2500  8 Ru 2.70, 4 Ir 2.93
Pb 0.5000 0.5000 0.7500  4 Pb 2.93, 8 Ru 2.95
Ru 0.0000 0.0000 0.0237  4 Ir 2.70, 4 Ru 2.93, 4 Pb 2.95
Ru 0.0000 0.0000 0.4763  4 Ir 2.70, 4 Ru 2.93, 4 Pb 2.95



Record 3
VASP calculation (PBE-GGA) on crystalline PrY2Ho12 at its relaxed geometry.

The calculation puts the formation energy from the elements at 0.108 eV/atom. Its space-group type is C2/m, No. 12. The calculation puts the density of states at the Fermi level at 47.2 states/eV/cell. Its total magnetic moment is 0.000 μB/cell.

Unit cell a=6.6018 b=6.6018 c=24.7854 alpha=96.67 beta=83.33 gamma=65.30
Last column: nearest neighbours and their distance in Å.
Fractional coordinates of all 30 atoms:
Pr 0.5003 0.9997 0.9996  2 Ho 3.36, 2 Pr 3.56
Pr 0.9997 0.5003 0.0004  2 Ho 3.36, 2 Pr 3.56
Y 0.5452 0.9548 0.2730  2 Y 3.56, 10 Ho 3.59-3.72
Y 0.0454 0.4546 0.2729  2 Y 3.56, 10 Ho 3.59-3.72
Y 0.9548 0.5452 0.7270  2 Y 3.56, 10 Ho 3.59-3.72
Y 0.4546 0.0454 0.7271  2 Y 3.56, 10 Ho 3.59-3.72
Ho 0.4014 0.5969 0.7973  3 Ho 3.11-3.18
Ho 0.9031 0.0986 0.7973  3 Ho 3.11-3.18
Ho 0.6046 0.8954 0.8607  4 Ho 3.18-3.56, 1 Pr 3.36
Ho 0.0574 0.9426 0.9242  9 Ho 3.55-3.67, 4 Pr 3.77-3.78
Ho 0.0016 0.9983 0.3313  3 Ho 3.11-3.28
Ho 0.4426 0.5574 0.0758  9 Ho 3.55-3.67, 4 Pr 3.77-3.78
Ho 0.8337 0.1674 0.5549  10 Ho 3.19-3.56
Ho 0.5017 0.4984 0.3313  3 Ho 3.11-3.28
Ho 0.1038 0.3962 0.8616  2 Ho 3.18, 1 Pr 3.36
Ho 0.8954 0.6046 0.1393  4 Ho 3.18-3.56, 1 Pr 3.36
Ho 0.3197 0.1803 0.5737  8 Ho 3.33-3.61
Ho 0.6663 0.3326 0.4451  10 Ho 3.19-3.56
Ho 0.9983 0.0016 0.6687  3 Ho 3.11-3.28
Ho 0.1803 0.3197 0.4263  8 Ho 3.33-3.61
Ho 0.3962 0.1038 0.1384  2 Ho 3.18, 1 Pr 3.36
Ho 0.6818 0.8182 0.4257  8 Ho 3.33-3.60
Ho 0.8182 0.6818 0.5743  8 Ho 3.33-3.60
Ho 0.0986 0.9031 0.2027  3 Ho 3.11-3.18
Ho 0.3326 0.6663 0.5549  10 Ho 3.19-3.56
Ho 0.4984 0.5017 0.6687  3 Ho 3.11-3.28
Ho 0.5574 0.4426 0.9242  9 Ho 3.55-3.67, 4 Pr 3.77-3.78
Ho 0.5969 0.4014 0.2027  3 Ho 3.11-3.18
Ho 0.1674 0.8337 0.4451  10 Ho 3.19-3.56
Ho 0.9426 0.0574 0.0758  9 Ho 3.55-3.67, 4 Pr 3.77-3.78



Record 4
VASP calculation (PBE-GGA) on crystalline PuAg2Sn at its relaxed geometry.

The calculation puts the formation energy from the elements at 0.063 eV/atom. Its space-group type is P4/mmm, No. 123. The calculation puts the density of states at the Fermi level at 8.1 states/eV/cell. Its total magnetic moment is 5.891 μB/cell.

Unit cell a=3.1512 b=3.1512 c=9.0996 alpha=90.00 beta=90.00 gamma=90.00
Last column: nearest neighbours and their distance in Å.
Fractional coordinates of all 4 atoms:
Sn 0.5000 0.5000 0.0000  8 Ag 3.14, 4 Sn 3.15
Ag 0.0000 0.0000 0.7574  4 Sn 3.14, 4 Ag 3.15, 4 Pu 3.23
Ag 0.0000 0.0000 0.2426  4 Sn 3.14, 4 Ag 3.15, 4 Pu 3.23
Pu 0.5000 0.5000 0.5000  4 Pu 3.15, 8 Ag 3.23



Record 5
VASP calculation (PBE-GGA) on crystalline LiCoRe at its relaxed geometry.

The calculation puts the formation energy from the elements at 0.577 eV/atom. Its space-group type is F-43m, No. 216. The calculation puts the density of states at the Fermi level at 3.8 states/eV/cell. Its total magnetic moment is 0.000 μB/cell. As for the energy above the most stable polymorph in this dataset: 350 meV per atom.

Unit cell a=3.8732 b=3.8732 c=3.8732 alpha=60.00 beta=60.00 gamma=60.00
Last column: nearest neighbours and their distance in Å.
Fractional coordinates of all 3 atoms:
Co 0.7500 0.7500 0.7500  4 Li 2.37, 4 Re 2.37
Li 0.0000 0.0000 0.0000  4 Co 2.37
Re 0.5000 0.5000 0.5000  4 Co 2.37



Record 6
VASP calculation (PBE-GGA) on crystalline MnCoPb2 at its relaxed geometry.

The calculation puts the formation energy from the elements at 0.532 eV/atom. Its space-group type is P2/m, No. 10. The calculation puts the density of states at the Fermi level at 2.8 states/eV/cell. Its total magnetic moment is 4.915 μB/cell. As for the energy above the most stable polymorph in this dataset: 269 meV per atom.

Unit cell a=3.3311 b=3.3403 c=8.0027 alpha=63.21 beta=90.00 gamma=90.00
Last column: nearest neighbours and their distance in Å.
Fractional coordinates of all 4 atoms:
Co 0.5000 0.2500 0.2500  8 Pb 2.84-2.91
Mn 0.5000 0.7500 0.7500  8 Pb 3.00-3.08, 4 Mn 3.33-3.34
Pb 0.0000 0.9815 0.0192  4 Co 2.84-2.91, 4 Mn 3.00-3.08
Pb 0.0000 0.5185 0.4808  4 Co 2.84-2.91, 4 Mn 3.00-3.08